Entry 1:
Compound: Hf3InGe
Source: Alexandria
Functional: PBE
Structure: optimized geometry

Geometry as CIF:
```
data_Hf3InGe
_chemical_formula_sum 'Hf6 In2 Ge2'
_space_group_name_H-M_alt 'P 1 21/m 1'
_space_group_IT_number 11
_space_group_name_Hall '-P 2yb'
_cell_length_a 4.385
_cell_length_b 9.629
_cell_length_c 5.598
_cell_angle_alpha 90.00
_cell_angle_beta 112.98
_cell_angle_gamma 90.00
loop_
_atom_site_label
_atom_site_fract_x
_atom_site_fract_y
_atom_site_fract_z
Hf1 0.096 0.250 0.188
Hf2 0.352 0.050 0.703
In1 0.216 0.750 0.433
Ge1 0.000 0.000 0.000
```

Calculated values
ΔH_f (0 K) = -1.015 eV per formula unit
Magnetization = 0.00 μB per formula unit
Polymorph energy (0 for the lowest one) = 0 meV per atom

---

Entry 2:
Compound: HfIn2GeN
Source: Alexandria
Functional: PBE
Structure: optimized geometry

Geometry as CIF:
```
data_HfIn2GeN
_chemical_formula_sum 'Hf1 In2 Ge1 N1'
_space_group_name_H-M_alt 'P 4/m m m'
_space_group_IT_number 123
_space_group_name_Hall '-P 4 2'
_cell_length_a 5.669
_cell_length_b 5.669
_cell_length_c 3.515
_cell_angle_alpha 90.00
_cell_angle_beta 90.00
_cell_angle_gamma 90.00
loop_
_atom_site_label
_atom_site_fract_x
_atom_site_fract_y
_atom_site_fract_z
Hf1 0.000 0.000 0.000
In1 0.000 0.500 0.500
Ge1 0.500 0.500 0.500
N1 0.500 0.500 0.000
```

Calculated values
Magnetization = 0.54 μB per formula unit
Raw formation energy = 0.82 eV/atom

---

DOS at the Fermi energy values (in states/eV/cell) by entry order: 6.64, 2.79.